Arrangement P

Computed, not measured: Ba2SrY after structural relaxation at the PBE level of DFT.

Structure (extended XYZ):
```
4
Lattice="0.000 4.643 4.643 4.643 0.000 4.643 4.643 4.643 0.000" Properties=species:S:1:pos:R:3 pbc="T T T"
Ba 2.322 2.322 2.322
Ba 6.965 6.965 6.965
Sr 0.000 0.000 0.000
Y 4.643 4.643 4.643
```

**Crystal system**: cubic
**Size of the total moment**: 0.00 μB/cell
**Fermi-level density of states**: 1.6215 states/eV per atom

---

Arrangement Q

Computed, not measured: Ba2SrY after structural relaxation at the PBE level of DFT.

Structure (extended XYZ):
```
4
Lattice="4.452 0.000 0.000 0.000 4.452 0.000 0.000 0.000 10.294" Properties=species:S:1:pos:R:3 pbc="T T T"
Ba 0.000 0.000 2.245
Ba 0.000 0.000 8.049
Sr 2.226 2.226 5.147
Y 2.226 2.226 0.000
```

**Crystal system**: tetragonal
**Size of the total moment**: 0.00 μB/cell
**Fermi-level density of states**: 1.3435 states/eV per atom

---

Arrangement R

Computed, not measured: Ba2SrY after structural relaxation at the PBE level of DFT.

Structure (extended XYZ):
```
4
Lattice="3.973 0.000 0.000 0.000 6.511 0.000 -1.384 0.000 7.617" Properties=species:S:1:pos:R:3 pbc="T T T"
Ba 0.000 0.000 0.000
Ba -0.100 3.256 5.566
Sr 2.553 3.256 1.970
Y 1.264 0.000 3.767
```

**Crystal system**: monoclinic
**Size of the total moment**: 0.00 μB/cell
**Fermi-level density of states**: 1.0973 states/eV per atom

---

Arrangement S

Computed, not measured: Ba2SrY after structural relaxation at the PBE level of DFT.

Structure (extended XYZ):
```
8
Lattice="-5.070 5.070 3.826 5.070 -5.070 3.826 5.070 5.070 -3.826" Properties=species:S:1:pos:R:3 pbc="T T T"
Ba 7.605 2.412 -0.956
Ba 2.412 2.535 0.956
Ba -2.535 2.658 2.869
Ba 2.658 2.535 4.782
Sr 5.070 0.000 1.913
Sr 0.000 0.000 3.826
Y 0.000 0.000 0.000
Y 0.000 5.070 1.913
```

**Crystal system**: tetragonal
**Size of the total moment**: 0.00 μB/cell
**Fermi-level density of states**: 1.5496 states/eV per atom

---

Of them, the most stable is arrangement Q and the least stable is arrangement S.

---

Arrangement P

Computed, not measured: Ba2SrY after structural relaxation at the PBE level of DFT.

Structure (extended XYZ):
```
4
Lattice="3.975 0.000 0.000 0.000 6.483 0.000 -1.508 0.000 7.644" Properties=species:S:1:pos:R:3 pbc="T T T"
Ba 0.553 0.000 2.003
Ba 1.914 0.000 5.641
Sr 1.987 3.241 0.000
Y -0.754 3.241 3.822
```

**Crystal system**: monoclinic
**Size of the total moment**: 0.00 μB/cell
**Fermi-level density of states**: 0.9161 states/eV per atom

---

Arrangement Q

Computed, not measured: Ba2SrY after structural relaxation at the PBE level of DFT.

Structure (extended XYZ):
```
4
Lattice="-2.932 2.932 5.841 2.932 -2.932 5.841 2.932 2.932 -5.841" Properties=species:S:1:pos:R:3 pbc="T T T"
Ba 2.932 0.000 2.920
Ba 0.000 2.932 2.920
Sr 0.000 0.000 0.000
Y 0.000 0.000 5.841
```

**Crystal system**: tetragonal
**Size of the total moment**: 0.00 μB/cell
**Fermi-level density of states**: 2.0842 states/eV per atom

---

Of them, the most stable is arrangement P and the least stable is arrangement Q.

---

Arrangement P

Computed, not measured: Ba2SrY after structural relaxation at the PBE level of DFT.

Structure (extended XYZ):
```
4
Lattice="-2.243 3.345 6.665 2.243 -3.345 6.665 2.243 3.345 -6.665" Properties=species:S:1:pos:R:3 pbc="T T T"
Ba 0.000 0.000 0.000
Ba 0.000 3.345 3.066
Sr 2.243 0.000 3.518
Y 0.000 0.000 6.587
```

**Crystal system**: orthorhombic
**Size of the total moment**: 0.00 μB/cell
**Fermi-level density of states**: 1.2318 states/eV per atom

---

Arrangement Q

Computed, not measured: Ba2SrY after structural relaxation at the PBE level of DFT.

Structure (extended XYZ):
```
4
Lattice="2.056 1.187 13.577 -2.056 1.187 13.577 0.000 -2.374 13.577" Properties=species:S:1:pos:R:3 pbc="T T T"
Ba 0.000 0.000 9.905
Ba 0.000 0.000 30.826
Sr 0.000 0.000 0.000
Y 0.000 0.000 20.365
```

**Crystal system**: trigonal
**Size of the total moment**: 0.93 μB/cell
**Fermi-level density of states**: 1.3708 states/eV per atom

---

Arrangement R

Computed, not measured: Ba2SrY after structural relaxation at the PBE level of DFT.

Structure (extended XYZ):
```
4
Lattice="4.156 -5.843 0.000 4.156 5.843 0.000 0.000 0.000 4.120" Properties=species:S:1:pos:R:3 pbc="T T T"
Ba 2.078 2.921 0.000
Ba 2.078 -2.921 0.000
Sr 0.000 0.000 2.060
Y 4.156 0.000 2.060
```

**Crystal system**: orthorhombic
**Size of the total moment**: 0.05 μB/cell
**Fermi-level density of states**: 2.1685 states/eV per atom

---

Arrangement S

Computed, not measured: Ba2SrY after structural relaxation at the PBE level of DFT.

Structure (extended XYZ):
```
4
Lattice="-3.256 3.256 4.664 3.256 -3.256 4.664 3.256 3.256 -4.664" Properties=species:S:1:pos:R:3 pbc="T T T"
Ba 0.000 0.000 0.000
Ba 0.000 3.256 2.332
Sr 3.256 0.000 2.332
Y 0.000 0.000 4.664
```

**Crystal system**: tetragonal
**Size of the total moment**: 0.00 μB/cell
**Fermi-level density of states**: 1.2712 states/eV per atom

---

Of them, the most stable is arrangement Q and the least stable is arrangement R.

---

Arrangement P

Computed, not measured: Ba2SrY after structural relaxation at the PBE level of DFT.

Structure (extended XYZ):
```
4
Lattice="-2.263 3.307 6.625 2.263 -3.307 6.625 2.263 3.307 -6.625" Properties=species:S:1:pos:R:3 pbc="T T T"
Ba 0.000 0.000 3.107
Ba 0.000 0.000 10.143
Sr 0.000 3.307 0.000
Y 2.263 0.000 0.000
```

**Crystal system**: orthorhombic
**Size of the total moment**: 0.00 μB/cell
**Fermi-level density of states**: 0.9714 states/eV per atom

---

Arrangement Q

Computed, not measured: Ba2SrY after structural relaxation at the PBE level of DFT.

Structure (extended XYZ):
```
4
Lattice="6.587 0.000 0.000 0.000 6.587 0.000 0.000 0.000 4.601" Properties=species:S:1:pos:R:3 pbc="T T T"
Ba 0.000 3.294 0.000
Ba 3.294 0.000 0.000
Sr 0.000 0.000 2.301
Y 3.294 3.294 2.301
```

**Crystal system**: tetragonal
**Size of the total moment**: 0.00 μB/cell
**Fermi-level density of states**: 1.3420 states/eV per atom

---

Arrangement R

Computed, not measured: Ba2SrY after structural relaxation at the PBE level of DFT.

Structure (extended XYZ):
```
4
Lattice="4.004 -6.530 0.000 4.004 6.530 0.000 -1.279 0.000 3.757" Properties=species:S:1:pos:R:3 pbc="T T T"
Ba 2.002 3.265 0.000
Ba 2.002 -3.265 0.000
Sr -0.639 0.000 1.879
Y 3.365 0.000 1.879
```

**Crystal system**: monoclinic
**Size of the total moment**: 0.00 μB/cell
**Fermi-level density of states**: 0.9622 states/eV per atom

---

Of them, the most stable is arrangement P and the least stable is arrangement Q.

---

Arrangement P

Computed, not measured: Ba2SrY after structural relaxation at the PBE level of DFT.

Structure (extended XYZ):
```
4
Lattice="4.404 0.000 0.000 0.000 4.404 0.000 0.000 0.000 10.492" Properties=species:S:1:pos:R:3 pbc="T T T"
Ba 0.000 0.000 0.000
Ba 2.202 2.202 3.150
Sr 0.000 0.000 6.056
Y 2.202 2.202 8.155
```

**Crystal system**: tetragonal
**Size of the total moment**: 0.00 μB/cell
**Fermi-level density of states**: 1.1577 states/eV per atom

---

Arrangement Q

Computed, not measured: Ba2SrY after structural relaxation at the PBE level of DFT.

Structure (extended XYZ):
```
4
Lattice="2.327 -3.256 0.000 2.327 3.256 0.000 0.000 0.000 13.107" Properties=species:S:1:pos:R:3 pbc="T T T"
Ba 0.000 0.000 0.000
Ba 2.327 0.000 3.626
Sr 2.327 0.000 9.585
Y 0.000 0.000 6.661
```

**Crystal system**: orthorhombic
**Size of the total moment**: 0.00 μB/cell
**Fermi-level density of states**: 1.3123 states/eV per atom

---

Arrangement R

Computed, not measured: Ba2SrY after structural relaxation at the PBE level of DFT.

Structure (extended XYZ):
```
4
Lattice="2.321 -3.254 0.000 2.321 3.254 0.000 0.000 0.000 13.122" Properties=species:S:1:pos:R:3 pbc="T T T"
Ba 0.000 0.000 3.033
Ba 0.000 0.000 10.089
Sr 2.321 0.000 6.561
Y 2.321 0.000 0.000
```

**Crystal system**: orthorhombic
**Size of the total moment**: 0.00 μB/cell
**Fermi-level density of states**: 1.1521 states/eV per atom

---

Of them, the most stable is arrangement P and the least stable is arrangement Q.

---

Arrangement P

Computed, not measured: BaSr3Y after structural relaxation at the PBE level of DFT.

Structure (extended XYZ):
```
5
Lattice="6.247 0.000 0.000 0.000 6.247 0.000 0.000 0.000 6.247" Properties=species:S:1:pos:R:3 pbc="T T T"
Ba 0.000 0.000 0.000
Sr 0.000 0.000 3.124
Sr 0.000 3.124 0.000
Sr 3.124 0.000 0.000
Y 3.124 3.124 3.124
```

**Crystal system**: cubic
**Size of the total moment**: 0.00 μB/cell
**Fermi-level density of states**: 2.8673 states/eV per atom

---

Arrangement Q

Computed, not measured: BaSr3Y after structural relaxation at the PBE level of DFT.

Structure (extended XYZ):
```
5
Lattice="6.662 0.000 0.000 0.000 6.662 0.000 0.000 0.000 6.662" Properties=species:S:1:pos:R:3 pbc="T T T"
Ba 0.000 0.000 0.000
Sr 0.000 3.331 3.331
Sr 3.331 0.000 3.331
Sr 3.331 3.331 0.000
Y 3.331 3.331 3.331
```

**Crystal system**: cubic
**Size of the total moment**: 2.57 μB/cell
**Fermi-level density of states**: 3.0785 states/eV per atom

---

Of them, the most stable is arrangement Q and the least stable is arrangement P.

---

Arrangement P

Computed, not measured: BaSr2Zn2 after structural relaxation at the PBE level of DFT.

Structure (extended XYZ):
```
10
Lattice="9.477 0.000 0.000 0.000 9.477 0.000 0.000 0.000 3.811" Properties=species:S:1:pos:R:3 pbc="T T T"
Ba 0.000 0.000 0.000
Ba 4.739 4.739 0.000
Sr 1.264 3.475 0.000
Sr 3.475 8.213 0.000
Sr 6.002 1.264 0.000
Sr 8.213 6.002 0.000
Zn 1.537 6.276 1.905
Zn 3.201 1.537 1.905
Zn 6.276 7.940 1.905
Zn 7.940 3.201 1.905
```

**Crystal system**: tetragonal
**Size of the total moment**: 0.00 μB/cell
**Fermi-level density of states**: 0.8082 states/eV per atom

---

Arrangement Q

Computed, not measured: BaSr2Zn2 after structural relaxation at the PBE level of DFT.

Structure (extended XYZ):
```
5
Lattice="-2.959 2.959 5.949 2.959 -2.959 5.949 2.959 2.959 -5.949" Properties=species:S:1:pos:R:3 pbc="T T T"
Ba 0.000 0.000 0.000
Sr 0.000 0.000 4.057
Sr 0.000 0.000 7.840
Zn 2.959 0.000 2.974
Zn 0.000 2.959 2.974
```

**Crystal system**: tetragonal
**Size of the total moment**: 0.00 μB/cell
**Fermi-level density of states**: 0.9830 states/eV per atom

---

Of them, the most stable is arrangement P and the least stable is arrangement Q.

---

Arrangement P

Computed, not measured: Ba4SrZn after structural relaxation at the PBE level of DFT.

Structure (extended XYZ):
```
6
Lattice="4.247 0.000 0.000 0.000 4.247 0.000 0.000 0.000 17.422" Properties=species:S:1:pos:R:3 pbc="T T T"
Ba 0.000 0.000 1.922
Ba 0.000 0.000 15.499
Ba 2.123 2.123 5.431
Ba 2.123 2.123 11.990
Sr 0.000 0.000 8.711
Zn 2.123 2.123 0.000
```

**Crystal system**: tetragonal
**Size of the total moment**: 0.00 μB/cell
**Fermi-level density of states**: 1.4812 states/eV per atom

---

Arrangement Q

Computed, not measured: Ba4SrZn after structural relaxation at the PBE level of DFT.

Structure (extended XYZ):
```
6
Lattice="0.000 5.582 5.582 5.582 0.000 5.582 5.582 5.582 0.000" Properties=species:S:1:pos:R:3 pbc="T T T"
Ba 1.401 1.401 1.401
Ba 4.181 4.181 1.401
Ba 4.181 1.401 4.181
Ba 1.401 4.181 4.181
Sr 8.373 8.373 8.373
Zn 5.582 5.582 5.582
```

**Crystal system**: cubic
**Size of the total moment**: 0.00 μB/cell
**Fermi-level density of states**: 2.1880 states/eV per atom

---

Of them, the most stable is arrangement P and the least stable is arrangement Q.

---

Arrangement P

Computed, not measured: Ba2SrZr after structural relaxation at the PBE level of DFT.

Structure (extended XYZ):
```
4
Lattice="0.000 4.460 4.460 4.460 0.000 4.460 4.460 4.460 0.000" Properties=species:S:1:pos:R:3 pbc="T T T"
Ba 0.000 0.000 0.000
Ba 2.230 2.230 2.230
Sr 4.460 4.460 4.460
Zr 6.691 6.691 6.691
```

**Crystal system**: cubic
**Size of the total moment**: 1.84 μB/cell
**Fermi-level density of states**: 2.7411 states/eV per atom

---

Arrangement Q

Computed, not measured: Ba2SrZr after structural relaxation at the PBE level of DFT.

Structure (extended XYZ):
```
4
Lattice="3.855 0.000 0.000 0.000 6.361 0.000 -0.038 0.000 7.177" Properties=species:S:1:pos:R:3 pbc="T T T"
Ba 0.000 0.000 0.000
Ba 0.005 3.181 4.833
Sr 1.936 3.181 1.530
Zr 1.917 0.000 3.511
```

**Crystal system**: monoclinic
**Size of the total moment**: 1.72 μB/cell
**Fermi-level density of states**: 1.4693 states/eV per atom

---

Arrangement R

Computed, not measured: Ba2SrZr after structural relaxation at the PBE level of DFT.

Structure (extended XYZ):
```
4
Lattice="-2.861 2.861 5.553 2.861 -2.861 5.553 2.861 2.861 -5.553" Properties=species:S:1:pos:R:3 pbc="T T T"
Ba 2.861 0.000 2.777
Ba 0.000 2.861 2.777
Sr 0.000 0.000 0.000
Zr 0.000 0.000 5.553
```

**Crystal system**: tetragonal
**Size of the total moment**: 2.72 μB/cell
**Fermi-level density of states**: 1.5633 states/eV per atom

---

Of them, the most stable is arrangement Q and the least stable is arrangement P.

---

Arrangement P

Computed, not measured: Ba2SrZr after structural relaxation at the PBE level of DFT.

Structure (extended XYZ):
```
4
Lattice="3.954 -5.808 0.000 3.954 5.808 0.000 0.000 0.000 3.914" Properties=species:S:1:pos:R:3 pbc="T T T"
Ba 1.977 2.904 0.000
Ba 1.977 -2.904 0.000
Sr 0.000 0.000 1.957
Zr 3.954 0.000 1.957
```

**Crystal system**: orthorhombic
**Size of the total moment**: 2.09 μB/cell
**Fermi-level density of states**: 1.8293 states/eV per atom

---

Arrangement Q

Computed, not measured: Ba2SrZr after structural relaxation at the PBE level of DFT.

Structure (extended XYZ):
```
4
Lattice="1.958 1.130 13.066 -1.958 1.130 13.066 0.000 -2.260 13.066" Properties=species:S:1:pos:R:3 pbc="T T T"
Ba 0.000 0.000 9.363
Ba 0.000 0.000 29.836
Sr 0.000 0.000 0.000
Zr 0.000 0.000 19.600
```

**Crystal system**: trigonal
**Size of the total moment**: 0.00 μB/cell
**Fermi-level density of states**: 1.2652 states/eV per atom

---

Of them, the most stable is arrangement Q and the least stable is arrangement P.